Sr4AlIn | GGA-PBE | optimized geometry

## Properties
Total magnetic moment (μB/cell): 0.00
ΔH_f (0 K) (meV/atom): -181
SG: C2/c, No. 15

Cell lengths 9.2551, 9.2551, 6.3499 Å; angles 100.63, 100.63, 113.39 degrees
Closest atoms and distances in Å follow each position.
Sites, in units of the cell vectors:
Sr: 0.0591 0.7028 0.9349  2 Al 3.36-3.40, 2 In 3.53-3.72
Sr: 0.2312 0.3766 0.6540  2 Al 3.47-3.53, 3 In 3.68-3.85, 1 Sr 3.76
Sr: 0.2972 0.9409 0.5651  2 Al 3.36-3.40, 2 In 3.53-3.72
Sr: 0.3766 0.2312 0.1540  2 Al 3.47-3.53, 3 In 3.68-3.85, 1 Sr 3.76
Sr: 0.6234 0.7688 0.8460  2 Al 3.47-3.53, 3 In 3.68-3.85, 1 Sr 3.76
Sr: 0.7028 0.0591 0.4349  2 Al 3.36-3.40, 2 In 3.53-3.72
Sr: 0.7688 0.6234 0.3460  2 Al 3.47-3.53, 3 In 3.68-3.85, 1 Sr 3.76
Sr: 0.9409 0.2972 0.0651  2 Al 3.36-3.40, 2 In 3.53-3.72
Al: 0.0013 0.9987 0.7500  2 Al 3.18, 8 Sr 3.36-3.53
Al: 0.9987 0.0013 0.2500  2 Al 3.18, 8 Sr 3.36-3.53
In: 0.3683 0.6317 0.2500  10 Sr 3.53-3.85
In: 0.6317 0.3683 0.7500  10 Sr 3.53-3.85